The following is a DFT calculation (PBE+U) of a relaxed structure of SrFeO3.

Summary:
- VASP energy (eV/atom) = -6.2621
- space group = Pm (6)

Lattice parameters (Å, degrees): 5.7382 3.9199 7.2141 90.00 112.94 90.00
Element x y z (fractional)
Sr  0.0000  0.0000  0.0000
Sr  0.3922  0.5000  0.6054
Fe  0.5201  0.5000  0.1021
Fe  0.7937  0.0000  0.4354
O  0.0951  0.0000  0.4098
O  0.2212  0.5000  0.8951
O  0.4954  0.0000  0.1684
O  0.6835  0.0000  0.6374
O  0.7253  0.5000  0.9679
O  0.7283  0.5000  0.3874